Entry 1:
DFT (PBE) results for a relaxed PrSnHgAu crystal.

Lattice parameters (Å, degrees): 5.196 5.196 5.196 60.00 60.00 60.00
Atoms (fractional coordinates):
Pr  0.750  0.750  0.750
Au  0.500  0.500  0.500
Sn  0.250  0.250  0.250
Hg  0.000  0.000  0.000

Computed properties:
The value obtained for the formation energy is -51.9 kJ/mol of atoms. For the total energy, the calculation gives -3.628 eV/atom. The calculation puts the volume at 99 Å³/cell. Its crystal system is cubic. For the density of states at the Fermi level, the calculation gives 1.2 states/eV/f.u.


Entry 2:
DFT (PBE) results for a relaxed TbPrHgAu crystal.

Lattice parameters (Å, degrees): 3.720 3.720 7.556 90.00 90.00 90.00
Last column: magnetic moment on the atom in μB.
Atoms (fractional coordinates):
Hg  0.000  0.000  0.841  0.00
Pr  0.500  0.500  0.114  0.09
Tb  0.500  0.500  0.592  0.00
Au  0.000  0.000  0.381  0.00

Computed properties:
The value obtained for the formation energy is -61.4 kJ/mol of atoms. For the total energy, the calculation gives -3.884 eV/atom. The calculation puts the volume at 105 Å³/cell. Its crystal system is tetragonal. The value obtained for the relative energy among the computed polymorphs is 0 meV/atom. For the density of states at the Fermi level, the calculation gives 3.8 states/eV/f.u.


Entry 3:
DFT (PBE) results for a relaxed TbPrHgAu crystal.

Lattice parameters (Å, degrees): 5.291 5.291 5.291 60.00 60.00 60.00
Atoms (fractional coordinates):
Au  0.000  0.000  0.000
Pr  0.750  0.750  0.750
Tb  0.250  0.250  0.250
Hg  0.500  0.500  0.500

Computed properties:
The value obtained for the formation energy is -59.2 kJ/mol of atoms. For the total energy, the calculation gives -3.861 eV/atom. The calculation puts the volume at 105 Å³/cell. Its crystal system is cubic. The value obtained for the relative energy among the computed polymorphs is 23 meV/atom. For the density of states at the Fermi level, the calculation gives 2.7 states/eV/f.u.


Entry 4:
DFT (PBE) results for a relaxed PrThHgAu crystal.

Lattice parameters (Å, degrees): 5.351 5.351 5.351 60.00 60.00 60.00
Last column: magnetic moment on the atom in μB.
Atoms (fractional coordinates):
Th  0.750  0.750  0.750  0.07
Au  0.000  0.000  0.000  0.01
Hg  0.500  0.500  0.500  0.00
Pr  0.250  0.250  0.250  0.06

Computed properties:
The value obtained for the formation energy is -43.5 kJ/mol of atoms. For the total energy, the calculation gives -4.396 eV/atom. The calculation puts the volume at 108 Å³/cell. Its crystal system is cubic. The value obtained for the relative energy among the computed polymorphs is 33 meV/atom. For the density of states at the Fermi level, the calculation gives 4.5 states/eV/f.u.


Entry 5:
DFT (PBE) results for a relaxed PrThHgAu crystal.

Lattice parameters (Å, degrees): 3.765 3.765 7.675 90.00 90.00 90.00
Atoms (fractional coordinates):
Pr  0.500  0.500  0.598
Th  0.500  0.500  0.120
Au  0.000  0.000  0.350
Hg  0.000  0.000  0.859

Computed properties:
The value obtained for the formation energy is -46.7 kJ/mol of atoms. For the total energy, the calculation gives -4.429 eV/atom. The calculation puts the volume at 109 Å³/cell. Its crystal system is tetragonal. The value obtained for the relative energy among the computed polymorphs is 0 meV/atom. For the density of states at the Fermi level, the calculation gives 4.8 states/eV/f.u.


Entry 6:
DFT (PBE) results for a relaxed Pr4Tl2HgAu crystal.

Lattice parameters (Å, degrees): 5.485 5.485 9.498 73.22 73.22 60.00
Last column: magnetic moment on the atom in μB.
Atoms (fractional coordinates):
Tl  0.254  0.254  0.239  0.00
Pr  0.871  0.871  0.386  0.21
Pr  0.621  0.621  0.138  0.14
Au  0.500  0.500  0.500  0.04
Tl  0.746  0.746  0.761  0.00
Hg  0.000  0.000  0.000  0.01
Pr  0.379  0.379  0.862  0.14
Pr  0.129  0.129  0.614  0.21

Computed properties:
The value obtained for the formation energy is -46.3 kJ/mol of atoms. For the total energy, the calculation gives -3.908 eV/atom. The calculation puts the volume at 233 Å³/cell. Its crystal system is trigonal. For the density of states at the Fermi level, the calculation gives 9.0 states/eV/f.u.


Which of these has the lowest density of states at the Fermi level?
PrSnHgAu


What is the density of states at the Fermi level in the third record?
2.7 states/eV/f.u.


Among the records above, which one has the lowest density of states at the Fermi level?
PrSnHgAu